# BaTl2Br (meta-GGA SCAN, single point on PBEsol structure)
data_BaTl2Br
_symmetry_space_group_name_H-M 'P 4/m m m'
_symmetry_Int_Tables_number 123
_symmetry_space_group_name_Hall '-P 4 2'
_cell_length_a 4.5003
_cell_length_b 4.5003
_cell_length_c 6.5908
_cell_angle_alpha 90.00
_cell_angle_beta 90.00
_cell_angle_gamma 90.00
loop_
_atom_site_label
_atom_site_fract_x
_atom_site_fract_y
_atom_site_fract_z
Ba1 0.0000 0.0000 0.0000
Tl1 0.0000 0.5000 0.5000
Br1 0.5000 0.5000 0.0000
# V: 133.5 Å³/f.u.
# distance to the lowest polymorph of the same formula: 0 meV/atom
# total moment: 0.001 μB per cell

=====

# BaTl2Br (meta-GGA SCAN, single point on PBEsol structure)
data_BaTl2Br
_symmetry_space_group_name_H-M 'C m m m'
_symmetry_Int_Tables_number 65
_symmetry_space_group_name_Hall '-C 2 2'
_cell_length_a 6.3771
_cell_length_b 10.8996
_cell_length_c 3.8827
_cell_angle_alpha 90.00
_cell_angle_beta 90.00
_cell_angle_gamma 90.00
loop_
_atom_site_label
_atom_site_fract_x
_atom_site_fract_y
_atom_site_fract_z
Ba1 0.0000 0.0000 0.0000
Tl1 0.2500 0.2500 0.5000
Br1 0.0000 0.5000 0.0000
# V: 134.9 Å³/f.u.
# distance to the lowest polymorph of the same formula: 161 meV/atom
# total moment: 0.000 μB per cell

=====

# BaTl2Br (meta-GGA SCAN, single point on PBEsol structure)
data_BaTl2Br
_symmetry_space_group_name_H-M 'P m m m'
_symmetry_Int_Tables_number 47
_cell_length_a 4.0409
_cell_length_b 5.8199
_cell_length_c 6.1279
_cell_angle_alpha 90.00
_cell_angle_beta 90.00
_cell_angle_gamma 90.00
loop_
_symmetry_equiv_pos_as_xyz
'x,y,z'
'-x,-y,-z'
'-x,-y,z'
'x,y,-z'
'x,-y,-z'
'-x,y,z'
'-x,y,-z'
'x,-y,z'
loop_
_atom_site_label
_atom_site_fract_x
_atom_site_fract_y
_atom_site_fract_z
Ba1 0.0000 0.0000 0.0000
Tl1 0.5000 0.5000 0.2487
Br1 0.0000 0.0000 0.5000
# V: 144.1 Å³/f.u.
# distance to the lowest polymorph of the same formula: 158 meV/atom
# total moment: 0.000 μB per cell

=====

# Ba2TlBr2 (meta-GGA SCAN, single point on PBEsol structure)
data_Ba2TlBr2
_symmetry_space_group_name_H-M 'I 4/m m m'
_symmetry_Int_Tables_number 139
_symmetry_space_group_name_Hall '-I 4 2'
_cell_length_a 4.9710
_cell_length_b 4.9710
_cell_length_c 16.3235
_cell_angle_alpha 90.00
_cell_angle_beta 90.00
_cell_angle_gamma 90.00
loop_
_atom_site_label
_atom_site_fract_x
_atom_site_fract_y
_atom_site_fract_z
Ba1 0.0000 0.0000 0.1265
Tl1 0.0000 0.0000 0.5000
Br1 0.0000 0.5000 0.2500
# V: 201.7 Å³/f.u.
# total moment: 1.505 μB per cell
# DFT total energy: -39.509 eV per atom

=====

> Which value of V does entry 1 give?

133.5 Å³/f.u.

=====

> total moment of number 4 (Ba2TlBr2)?

1.505 μB per cell

=====

> What is the total moment in the first record?

0.001 μB per cell